A plane-wave DFT calculation with GGA+U was carried out for MnVO2 after structural relaxation.

Summary:
The value obtained for the calculated total energy is -0.57375 Ry/atom. The calculation puts the magnetization at 8.00 μB per formula unit.

```
data_MnVO2
_chemical_formula_sum 'Mn3 V3 O6'
_space_group_name_H-M_alt 'R -3 m'
_space_group_IT_number 166
_space_group_name_Hall '-R 3 2"'
_cell_length_a 3.1728
_cell_length_b 3.1728
_cell_length_c 15.4798
_cell_angle_alpha 90.00
_cell_angle_beta 90.00
_cell_angle_gamma 120.00
loop_
_atom_site_label
_atom_site_fract_x
_atom_site_fract_y
_atom_site_fract_z
Mn1 0.0000 0.0000 0.0000
V1 0.0000 0.0000 0.5000
O1 0.0000 0.0000 0.2490
```